Here is a relaxed MnSnAs crystal from Alexandria. Energies are from PBE-GGA.

Structure (CIF):
```
data_MnSnAs
_cell_length_a 3.203
_cell_length_b 5.904
_cell_length_c 6.247
_cell_angle_alpha 90.00
_cell_angle_beta 90.00
_cell_angle_gamma 90.00
_symmetry_space_group_name_H-M 'P m n 21'
_symmetry_Int_Tables_number 31
loop_
_symmetry_equiv_pos_as_xyz
'x,y,z'
'-x+1/2,-y,z+1/2'
'-x,y,z'
'x+1/2,-y,z+1/2'
loop_
_atom_site_label
_atom_site_fract_x
_atom_site_fract_y
_atom_site_fract_z
Mn1 0.000 0.212 0.000
Sn1 0.000 0.535 0.727
As1 0.000 0.962 0.289
```

Formation energy from the elements   -0.02 eV/atom
Energy   -5.96 eV per atom